Record 1
The following is a DFT calculation (GGA-PBE) of crystalline CrNi3Pd at its relaxed geometry.

a b c (Å): 6.331 4.493 4.713
angles (deg): 90.65 110.46 75.36
Each line ends with the local moment (μB).
Fractional positions:
Ni 0.600 0.543 0.552  0.10
Cr 0.993 0.151 0.742  0.73
Ni 0.386 0.758 0.932  0.10
Cr 0.993 0.651 0.742  -0.62
Ni 0.686 0.005 0.347  0.08
Ni 0.299 0.291 0.628  0.08
Pd 0.843 0.453 0.171  0.02
Pd 0.143 0.849 0.313  0.02
Ni 0.687 0.010 0.857  0.08
Ni 0.299 0.297 0.137  0.08

crystal system: triclinic
ΔE_f: 0.07 eV/atom

Record 2
The following is a DFT calculation (GGA-PBE) of crystalline Cr2Ni9Pd at its relaxed geometry.

a b c (Å): 3.575 3.575 10.741
angles (deg): 90.00 90.00 90.00
Each line ends with the local moment (μB).
Fractional positions:
Cr 0.000 0.000 0.333  1.91
Pd 0.000 0.000 0.000  -0.15
Ni 0.500 0.500 0.338  -0.10
Ni 0.500 0.000 0.500  -0.01
Ni 0.500 0.000 0.176  -0.23
Ni 0.000 0.500 0.824  -0.23
Ni 0.500 0.500 0.000  -0.31
Ni 0.000 0.500 0.500  -0.01
Ni 0.500 0.000 0.824  -0.23
Cr 0.000 0.000 0.667  1.91
Ni 0.000 0.500 0.176  -0.23
Ni 0.500 0.500 0.662  -0.10

crystal system: tetragonal
ΔE_f: 0.01 eV/atom

Record 3
The following is a DFT calculation (GGA-PBE) of crystalline CrNi4Pd at its relaxed geometry.

a b c (Å): 3.582 5.332 7.929
angles (deg): 90.00 103.05 90.00
Each line ends with the local moment (μB).
Fractional positions:
Pd 0.095 0.250 0.191  0.07
Cr 0.232 0.750 0.463  -0.07
Ni 0.339 0.032 0.678  0.03
Ni 0.500 0.500 0.000  0.46
Ni 0.661 0.968 0.322  0.03
Pd 0.905 0.750 0.809  0.07
Ni 0.339 0.468 0.678  0.03
Ni 0.925 0.250 0.850  0.25
Ni 0.075 0.750 0.150  0.25
Ni 0.661 0.532 0.322  0.03
Cr 0.768 0.250 0.537  -0.07
Ni 0.500 0.000 0.000  0.46

crystal system: orthorhombic
ΔE_f: 0.22 eV/atom

Record 4
The following is a DFT calculation (GGA-PBE) of crystalline Cr2NiPd8 at its relaxed geometry.

a b c (Å): 4.156 6.988 7.036
angles (deg): 119.78 107.18 90.00
Each line ends with the local moment (μB).
Fractional positions:
Pd 0.346 0.126 0.692  -0.03
Cr 0.803 0.303 0.606  2.73
Cr 0.197 0.697 0.394  2.73
Pd 0.147 0.147 0.295  -0.09
Pd 0.346 0.566 0.692  -0.03
Pd 0.853 0.853 0.705  -0.09
Pd 0.000 0.693 0.000  -0.07
Pd 0.654 0.434 0.308  -0.03
Pd 0.654 0.874 0.308  -0.03
Ni 0.500 0.000 0.000  -0.56
Pd 0.000 0.307 0.000  -0.07

crystal system: orthorhombic
ΔE_f: 0.04 eV/atom

Record 5
The following is a DFT calculation (GGA-PBE) of crystalline CrNiPd3 at its relaxed geometry.

a b c (Å): 4.545 4.545 4.545
angles (deg): 90.00 90.00 90.00
Each line ends with the local moment (μB).
Fractional positions:
Pd 0.000 0.000 0.500  0.07
Pd 0.500 0.000 0.000  -0.07
Cr 0.500 0.500 0.500  -3.91
Pd 0.000 0.500 0.000  -0.02
Ni 0.000 0.000 0.000  0.06

crystal system: cubic
ΔE_f: 0.85 eV/atom

Record 6
The following is a DFT calculation (GGA-PBE) of crystalline CrNiPd5 at its relaxed geometry.

a b c (Å): 6.386 6.386 6.902
angles (deg): 67.31 67.31 84.99
Each line ends with the local moment (μB).
Fractional positions:
Pd 0.385 0.826 0.026  -0.06
Ni 0.000 0.000 0.500  -0.75
Cr 0.475 0.525 0.750  2.38
Cr 0.525 0.475 0.250  2.38
Pd 0.790 0.621 0.841  -0.05
Pd 0.379 0.210 0.659  -0.05
Pd 0.210 0.379 0.159  -0.05
Pd 0.202 0.798 0.750  -0.12
Pd 0.798 0.202 0.250  -0.12
Ni 0.000 0.000 0.000  -0.75
Pd 0.826 0.385 0.526  -0.06
Pd 0.621 0.790 0.341  -0.05
Pd 0.615 0.174 0.974  -0.06
Pd 0.174 0.615 0.474  -0.06

crystal system: monoclinic
ΔE_f: 0.41 eV/atom

Record 7
The following is a DFT calculation (GGA-PBE) of crystalline CrNiPd3 at its relaxed geometry.

a b c (Å): 4.622 4.630 7.329
angles (deg): 84.82 108.35 106.55
Each line ends with the local moment (μB).
Fractional positions:
Pd 0.470 0.851 0.202  0.03
Pd 0.264 0.840 0.810  -0.02
Pd 0.761 0.341 0.805  -0.02
Pd 0.075 0.858 0.419  -0.02
Pd 0.575 0.351 0.413  0.03
Cr 0.166 0.347 0.612  2.87
Cr 0.862 0.848 0.002  2.87
Ni 0.647 0.824 0.610  -0.19
Ni 0.344 0.324 0.004  -0.19
Pd 0.963 0.358 0.196  -0.02

crystal system: triclinic
ΔE_f: 0.00 eV/atom

Record 8
The following is a DFT calculation (GGA-PBE) of crystalline CrNi3Pd12 at its relaxed geometry.

a b c (Å): 3.881 3.881 15.488
angles (deg): 90.00 90.00 90.00
Each line ends with the local moment (μB).
Fractional positions:
Ni 0.000 0.000 0.500  0.80
Ni 0.000 0.000 0.748  0.77
Pd 0.500 0.000 0.873  0.15
Pd 0.500 0.500 0.252  0.22
Pd 0.500 0.500 0.748  0.22
Cr 0.000 0.000 0.000  -2.94
Ni 0.000 0.000 0.252  0.77
Pd 0.000 0.500 0.873  0.15
Pd 0.500 0.000 0.624  0.27
Pd 0.500 0.000 0.127  0.15
Pd 0.500 0.500 0.000  0.07
Pd 0.000 0.500 0.624  0.27
Pd 0.500 0.500 0.500  0.29
Pd 0.000 0.500 0.376  0.27
Pd 0.500 0.000 0.376  0.27
Pd 0.000 0.500 0.127  0.15

crystal system: tetragonal
ΔE_f: 0.01 eV/atom

Record 9
The following is a DFT calculation (GGA-PBE) of crystalline CrNi2Pd6 at its relaxed geometry.

a b c (Å): 3.917 5.918 6.172
angles (deg): 83.97 71.50 70.68
Each line ends with the local moment (μB).
Fractional positions:
Pd 0.991 0.186 0.833  0.14
Cr 0.000 0.500 0.500  2.50
Pd 0.009 0.814 0.167  0.14
Pd 0.324 0.186 0.167  0.14
Pd 0.676 0.814 0.833  0.14
Ni 0.669 0.500 0.163  0.65
Pd 0.657 0.187 0.500  0.09
Ni 0.331 0.500 0.837  0.65
Pd 0.343 0.813 0.500  0.09

crystal system: orthorhombic
ΔE_f: -0.02 eV/atom

Record 10
The following is a DFT calculation (GGA-PBE) of crystalline Cr3NiPd12 at its relaxed geometry.

a b c (Å): 3.908 3.908 15.567
angles (deg): 90.00 90.00 90.00
Each line ends with the local moment (μB).
Fractional positions:
Cr 0.000 0.000 0.751  2.92
Pd 0.500 0.000 0.374  -0.08
Pd 0.500 0.000 0.877  0.03
Cr 0.000 0.000 0.249  2.92
Pd 0.500 0.500 0.500  -0.08
Pd 0.000 0.500 0.877  0.03
Pd 0.500 0.500 0.752  -0.02
Pd 0.000 0.500 0.626  -0.08
Pd 0.000 0.500 0.374  -0.08
Pd 0.500 0.000 0.626  -0.08
Ni 0.000 0.000 0.000  0.69
Pd 0.500 0.500 0.000  0.10
Pd 0.000 0.500 0.123  0.03
Pd 0.500 0.500 0.248  -0.02
Pd 0.500 0.000 0.123  0.03
Cr 0.000 0.000 0.500  2.96

crystal system: tetragonal
ΔE_f: -0.05 eV/atom

Record 11
The following is a DFT calculation (GGA-PBE) of crystalline Cr2NiPd8 at its relaxed geometry.

a b c (Å): 3.965 6.180 7.199
angles (deg): 105.98 105.99 90.00
Each line ends with the local moment (μB).
Fractional positions:
Pd 0.598 0.455 0.195  0.05
Pd 0.322 0.084 0.643  0.02
Cr 0.777 0.351 0.554  2.77
Cr 0.223 0.649 0.446  2.77
Pd 0.956 0.268 0.912  0.06
Pd 0.678 0.916 0.357  0.02
Pd 0.857 0.803 0.713  0.03
Ni 0.500 0.000 0.000  0.60
Pd 0.402 0.545 0.805  0.05
Pd 0.143 0.197 0.287  0.03
Pd 0.044 0.732 0.088  0.06

crystal system: monoclinic
ΔE_f: -0.02 eV/atom

Record 12
The following is a DFT calculation (GGA-PBE) of crystalline CrNi2Pd2 at its relaxed geometry.

a b c (Å): 4.127 4.127 9.735
angles (deg): 90.00 90.00 120.00
Each line ends with the local moment (μB).
Fractional positions:
Pd 0.667 0.333 0.750  0.03
Pd 0.000 0.000 0.500  0.03
Pd 0.333 0.667 0.250  0.03
Pd 0.000 0.000 0.000  0.03
Cr 0.000 0.000 0.250  1.92
Ni 0.333 0.667 0.879  -0.18
Ni 0.667 0.333 0.121  -0.18
Ni 0.333 0.667 0.621  -0.18
Ni 0.667 0.333 0.379  -0.18
Cr 0.000 0.000 0.750  1.92

crystal system: hexagonal
ΔE_f: 0.36 eV/atom

Record 13
The following is a DFT calculation (GGA-PBE) of crystalline CrNi2Pd6 at its relaxed geometry.

a b c (Å): 3.904 4.677 8.218
angles (deg): 71.95 76.26 65.33
Each line ends with the local moment (μB).
Fractional positions:
Pd 0.665 0.064 0.606  -0.09
Ni 0.334 0.612 0.720  -0.68
Pd 0.332 0.279 0.057  -0.16
Pd 0.668 0.721 0.943  -0.16
Pd 0.000 0.822 0.178  -0.11
Ni 0.666 0.388 0.280  -0.68
Pd 0.335 0.936 0.394  -0.09
Pd 0.000 0.178 0.822  -0.11
Cr 0.000 0.500 0.500  2.75

crystal system: monoclinic
ΔE_f: 0.00 eV/atom

Record 14
The following is a DFT calculation (GGA-PBE) of crystalline Cr2Ni2Pd at its relaxed geometry.

a b c (Å): 6.942 6.942 2.578
angles (deg): 90.00 90.00 90.00
Fractional positions:
Ni 0.677 0.823 0.500
Cr 0.386 0.886 0.000
Ni 0.823 0.323 0.500
Pd 0.500 0.500 0.000
Cr 0.114 0.386 0.000
Ni 0.323 0.177 0.500
Pd 0.000 0.000 0.000
Cr 0.886 0.614 0.000
Cr 0.614 0.114 0.000
Ni 0.177 0.677 0.500

crystal system: tetragonal
ΔE_f: 0.21 eV/atom

Record 15
The following is a DFT calculation (GGA-PBE) of crystalline CrNi3Pd at its relaxed geometry.

a b c (Å): 5.684 5.200 7.566
angles (deg): 90.49 35.61 76.87
Fractional positions:
Ni 0.312 0.049 0.907
Pd 0.498 0.751 0.503
Ni 0.688 0.951 0.093
Cr 0.893 0.148 0.690
Ni 0.310 0.544 0.904
Cr 0.107 0.852 0.310
Ni 0.690 0.456 0.096
Pd 0.502 0.249 0.497
Ni 0.877 0.653 0.708
Ni 0.123 0.347 0.292

crystal system: triclinic
ΔE_f: 0.04 eV/atom

Record 16
The following is a DFT calculation (GGA-PBE) of crystalline Cr2NiPd9 at its relaxed geometry.

a b c (Å): 3.899 3.899 11.701
angles (deg): 90.00 90.00 90.00
Each line ends with the local moment (μB).
Fractional positions:
Pd 0.000 0.500 0.836  0.05
Pd 0.000 0.500 0.500  -0.05
Pd 0.500 0.000 0.836  0.05
Pd 0.500 0.000 0.500  -0.05
Pd 0.500 0.500 0.668  0.00
Pd 0.500 0.500 0.000  0.12
Ni 0.000 0.000 0.000  0.71
Pd 0.500 0.000 0.164  0.05
Pd 0.000 0.500 0.164  0.05
Cr 0.000 0.000 0.668  2.97
Pd 0.500 0.500 0.332  0.00
Cr 0.000 0.000 0.332  2.97

crystal system: tetragonal
ΔE_f: -0.04 eV/atom

Record 17
The following is a DFT calculation (GGA-PBE) of crystalline Cr2NiPd at its relaxed geometry.

a b c (Å): 6.636 6.636 5.288
angles (deg): 51.14 51.14 90.00
Fractional positions:
Pd 0.000 0.000 0.000
Cr 0.591 0.125 0.250
Ni 0.250 0.750 0.500
Pd 0.750 0.250 0.500
Ni 0.500 0.500 0.000
Cr 0.375 0.409 0.750
Cr 0.875 0.841 0.750
Cr 0.159 0.625 0.250

crystal system: tetragonal
ΔE_f: 0.63 eV/atom

Record 18
The following is a DFT calculation (GGA-PBE) of crystalline Cr2NiPd at its relaxed geometry.

a b c (Å): 4.280 4.280 4.280
angles (deg): 60.00 60.00 60.00
Each line ends with the local moment (μB).
Fractional positions:
Ni 0.000 0.000 0.000  0.55
Pd 0.500 0.500 0.500  0.26
Cr 0.250 0.250 0.250  2.94
Cr 0.750 0.750 0.750  2.94

crystal system: cubic
ΔE_f: 0.27 eV/atom

Record 19
The following is a DFT calculation (GGA-PBE) of crystalline Cr2Ni6Pd at its relaxed geometry.

a b c (Å): 3.548 4.413 7.651
angles (deg): 107.09 90.00 113.70
Each line ends with the local moment (μB).
Fractional positions:
Cr 0.322 0.644 0.264  1.27
Cr 0.678 0.356 0.736  1.27
Ni 0.666 0.332 0.381  -0.10
Ni 0.334 0.668 0.619  -0.10
Ni 0.002 0.005 0.837  -0.15
Ni 0.333 0.665 0.947  -0.12
Ni 0.667 0.335 0.053  -0.12
Pd 0.000 0.000 0.500  0.01
Ni 0.998 0.995 0.163  -0.15

crystal system: monoclinic
ΔE_f: 0.02 eV/atom

Record 20
The following is a DFT calculation (GGA-PBE) of crystalline CrNi7Sb2Pd2 at its relaxed geometry.

a b c (Å): 3.466 3.466 14.214
angles (deg): 82.92 82.92 90.00
Each line ends with the local moment (μB).
Fractional positions:
Ni 0.063 0.563 0.876  -0.10
Sb 0.183 0.183 0.637  0.00
Pd 0.635 0.635 0.734  -0.01
Ni 0.730 0.730 0.541  0.00
Ni 0.270 0.270 0.459  0.00
Sb 0.817 0.817 0.363  0.00
Ni 0.937 0.437 0.124  -0.10
Ni 0.437 0.937 0.124  -0.10
Cr 0.000 0.000 0.000  0.80
Pd 0.365 0.365 0.266  -0.01
Ni 0.563 0.063 0.876  -0.10
Ni 0.500 0.500 0.000  -0.09

ΔE_f (raw): -0.027 eV/atom
crystal system: monoclinic